Computed, not measured: an optimized crystal structure of KTaSe2 at the PBE level of DFT.

Output
As for the space group: Amm2, No. 38. The value obtained for the total energy is -5.53 eV per atom.

Cell: 4.314 3.618 7.693 Å, 76.39 90.00 90.00°
Fractional positions:
Se: 0.500 0.350 0.424
Ta: 0.000 0.432 0.261
K: 0.500 0.667 0.793
Se: 0.000 0.051 0.023